{"formula": "NdSc3Tl", "functional": "PBE", "state": "relaxed", "lattice_angstrom": [[6.987, -6.223, 0.000], [6.987, 6.223, 0.000], [-1.571, 0.000, 6.057]], "species": ["Nd", "Nd", "Nd", "Nd", "Sc", "Sc", "Sc", "Sc", "Sc", "Sc", "Sc", "Sc", "Sc", "Sc", "Sc", "Sc", "Tl", "Tl", "Tl", "Tl"], "frac_coords": [[0.036, 0.176, 0.470], [0.176, 0.036, 0.970], [0.824, 0.964, 0.030], [0.964, 0.824, 0.530], [0.089, 0.700, 0.036], [0.125, 0.492, 0.359], [0.228, 0.382, 0.860], [0.300, 0.911, 0.464], [0.382, 0.228, 0.360], [0.492, 0.125, 0.859], [0.508, 0.875, 0.141], [0.618, 0.772, 0.640], [0.700, 0.089, 0.536], [0.772, 0.618, 0.140], [0.875, 0.508, 0.641], [0.911, 0.300, 0.964], [0.322, 0.678, 0.750], [0.417, 0.583, 0.250], [0.583, 0.417, 0.750], [0.678, 0.322, 0.250]], "mass_density_g_cm3": 6.10, "formation_enthalpy_0k_ev_per_atom": -0.02}

---

{"formula": "NdSc2Tl", "functional": "PBE", "state": "relaxed", "lattice_angstrom": [[7.422, 0.000, 0.000], [0.000, 7.422, 0.000], [0.000, 0.000, 7.422]], "species": ["Nd", "Nd", "Nd", "Nd", "Sc", "Sc", "Sc", "Sc", "Sc", "Sc", "Sc", "Sc", "Tl", "Tl", "Tl", "Tl"], "frac_coords": [[0.000, 0.000, 0.000], [0.000, 0.500, 0.500], [0.500, 0.000, 0.500], [0.500, 0.500, 0.000], [0.250, 0.250, 0.250], [0.250, 0.250, 0.750], [0.250, 0.750, 0.250], [0.250, 0.750, 0.750], [0.750, 0.250, 0.250], [0.750, 0.250, 0.750], [0.750, 0.750, 0.250], [0.750, 0.750, 0.750], [0.000, 0.000, 0.500], [0.000, 0.500, 0.000], [0.500, 0.000, 0.000], [0.500, 0.500, 0.500]], "mass_density_g_cm3": 7.12, "formation_enthalpy_0k_ev_per_atom": -0.02}

---

{"formula": "Nd5ScTl2", "functional": "PBE", "state": "relaxed", "lattice_angstrom": [[5.483, 0.000, 0.000], [-2.741, 4.748, 0.000], [0.000, 0.000, 20.383]], "species": ["Nd", "Nd", "Nd", "Nd", "Nd", "Nd", "Nd", "Nd", "Nd", "Nd", "Sc", "Sc", "Tl", "Tl", "Tl", "Tl"], "frac_coords": [[0.000, 0.000, 0.161], [0.000, 0.000, 0.339], [0.000, 0.000, 0.661], [0.000, 0.000, 0.839], [0.333, 0.667, 0.056], [0.333, 0.667, 0.250], [0.333, 0.667, 0.444], [0.667, 0.333, 0.556], [0.667, 0.333, 0.750], [0.667, 0.333, 0.944], [0.333, 0.667, 0.750], [0.667, 0.333, 0.250], [0.333, 0.667, 0.604], [0.333, 0.667, 0.896], [0.667, 0.333, 0.104], [0.667, 0.333, 0.396]], "mass_density_g_cm3": 7.35, "formation_enthalpy_0k_ev_per_atom": -0.09}

---

{"formula": "NdScTl", "functional": "PBE", "state": "relaxed", "lattice_angstrom": [[6.468, 0.000, 0.000], [0.000, 6.469, 0.000], [-3.219, 0.000, 8.267]], "species": ["Nd", "Nd", "Nd", "Nd", "Sc", "Sc", "Sc", "Sc", "Tl", "Tl", "Tl", "Tl"], "frac_coords": [[0.171, 0.000, 0.343], [0.329, 0.500, 0.657], [0.671, 0.500, 0.343], [0.829, 0.000, 0.657], [0.250, 0.250, 0.000], [0.250, 0.750, 0.000], [0.750, 0.250, 0.000], [0.750, 0.750, 0.000], [0.127, 0.500, 0.256], [0.373, 0.000, 0.744], [0.627, 0.000, 0.256], [0.873, 0.500, 0.744]], "mass_density_g_cm3": 7.56, "formation_enthalpy_0k_ev_per_atom": -0.29}